# PBE Ti3NbIr3, relaxed
data_Ti3NbIr3
_cell_length_a 8.687
_cell_length_b 9.112
_cell_length_c 5.821
_cell_angle_alpha 90.00
_cell_angle_beta 90.00
_cell_angle_gamma 90.00
_space_group_name_H-M_alt 'C m m m'
_space_group_IT_number 65
_space_group_name_Hall '-C 2 2'
loop_
_atom_site_label
_atom_site_fract_x
_atom_site_fract_y
_atom_site_fract_z
Ti1 0.000 0.220 0.000
Ti2 0.000 0.269 0.500
Ti3 0.249 0.500 0.000
Nb1 0.171 0.000 0.500
Ir1 0.000 0.500 0.247
Ir2 0.250 0.250 0.248
# ρ = 11.7 g/cm3
# energy relative to the elements = -0.508 eV per atom
# magnetic moment = 0.00 Bohr magnetons per cell